The following is a PBE calculation of PrHoTh2Se4 after structural relaxation, from Alexandria via LeMat-Bulk.

Lattice parameters (Å, degrees): 4.166 7.123 7.385 109.15 90.00 90.00
Positions (direct):
1 Ho 0.500 0.500 0.000
2 Th 0.000 0.500 0.500
3 Se 0.500 0.257 0.245
4 Se 0.000 0.738 0.239
5 Th 0.500 0.000 0.500
6 Se 0.500 0.743 0.755
7 Pr 0.000 0.000 0.000
8 Se 0.000 0.262 0.761

Values from the calculation:
Calculated total energy = -6.41 eV per atom
Formation energy from raw total energies = -1.642 eV/atom
Volume = 207.0 Å³/f.u.



The following is a PBE calculation of Li3Pu3HfS8 after structural relaxation, from Alexandria via LeMat-Bulk.

Lattice parameters (Å, degrees): 7.842 7.842 7.588 121.12 90.00 120.00
Each line ends with the local moment (μB).
Positions (direct):
1 S 0.750 0.500 0.750  -0.11
2 S 0.236 0.005 0.740  -0.07
3 Hf 0.000 0.000 0.500  0.10
4 Li 0.000 0.000 0.000  0.00
5 Li 0.000 0.500 0.000  0.00
6 Pu 0.500 0.000 0.500  5.03
7 S 0.250 0.500 0.250  -0.11
8 S 0.764 0.528 0.260  -0.07
9 S 0.231 0.995 0.260  -0.07
10 Pu 0.500 0.500 0.500  5.03
11 Li 0.500 0.500 0.000  0.00
12 S 0.236 0.472 0.740  -0.07
13 Pu 0.000 0.500 0.500  5.03
14 S 0.769 0.005 0.740  -0.07
15 S 0.764 0.995 0.260  -0.07

Values from the calculation:
Calculated total energy = -7.68 eV per atom
Formation energy from raw total energies = -1.564 eV/atom
Volume = 324.3 Å³/f.u.



The following is a PBE calculation of SbTe2Au after structural relaxation, from Alexandria via LeMat-Bulk.

Lattice parameters (Å, degrees): 3.462 3.462 9.530 90.00 90.00 112.70
Positions (direct):
1 Te 0.000 0.000 0.469
2 Au 0.500 0.500 0.250
3 Sb 0.500 0.500 0.750
4 Te 0.000 0.000 0.031

Values from the calculation:
Calculated total energy = -3.18 eV per atom
Formation energy from raw total energies = 0.245 eV/atom
Volume = 105.3 Å³/f.u.



The following is a PBE calculation of Ga2SnBr after structural relaxation, from Alexandria via LeMat-Bulk.

Lattice parameters (Å, degrees): 6.294 6.294 8.223 67.50 67.50 90.00
Positions (direct):
1 Sn 0.750 0.250 0.500
2 Ga 0.648 0.125 0.250
3 Ga 0.102 0.625 0.250
4 Br 0.250 0.750 0.500
5 Ga 0.375 0.352 0.750
6 Ga 0.875 0.898 0.750
7 Sn 0.000 0.000 0.000
8 Br 0.500 0.500 0.000

Values from the calculation:
Calculated total energy = -2.92 eV per atom
Formation energy from raw total energies = 0.008 eV/atom
Volume = 137.0 Å³/f.u.
E above lowest polymorph = 0.028 eV per atom



The following is a PBE calculation of LaBeRh2 after structural relaxation, from Alexandria via LeMat-Bulk.

Lattice parameters (Å, degrees): 4.199 4.195 4.195 89.97 90.00 90.00
Positions (direct):
1 La 0.500 0.875 0.710
2 Rh 0.000 0.875 0.204
3 Rh 0.500 0.375 0.204
4 Be 0.000 0.375 0.382

Values from the calculation:
Calculated total energy = -6.37 eV per atom
Formation enthalpy at 0 K = -0.53 eV/atom
Volume = 73.9 Å³/f.u.



The following is a PBE calculation of Pm4PrN4 after structural relaxation, from Alexandria via LeMat-Bulk.

Lattice parameters (Å, degrees): 6.324 6.324 6.324 99.39 99.39 132.36
Positions (direct):
1 N 0.699 0.097 0.796
2 N 0.097 0.301 0.398
3 N 0.903 0.699 0.602
4 Pm 0.611 0.815 0.426
5 N 0.301 0.903 0.204
6 Pm 0.389 0.185 0.574
7 Pm 0.815 0.389 0.205
8 Pr 0.000 0.000 0.000
9 Pm 0.185 0.611 0.795

Values from the calculation:
Calculated total energy = -7.59 eV per atom
Formation energy from raw total energies = -1.252 eV/atom
Volume = 171.0 Å³/f.u.



The following is a PBE calculation of ZrMoSe2 after structural relaxation, from Alexandria via LeMat-Bulk.

Lattice parameters (Å, degrees): 8.244 8.244 8.244 22.81 22.81 22.81
Positions (direct):
1 Mo 0.750 0.750 0.750
2 Se 0.493 0.493 0.493
3 Se 0.007 0.007 0.007
4 Zr 0.250 0.250 0.250

Values from the calculation:
Calculated total energy = -6.88 eV per atom
Formation energy from raw total energies = -0.295 eV/atom
Volume = 73.9 Å³/f.u.
E above lowest polymorph = 0.296 eV per atom



The following is a PBE calculation of YLu2Co after structural relaxation, from Alexandria via LeMat-Bulk.

Lattice parameters (Å, degrees): 5.132 5.132 5.020 59.26 59.26 60.00
Each line ends with the local moment (μB).
Positions (direct):
1 Lu 0.755 0.755 0.734  0.00
2 Y 0.500 0.500 0.500  -0.01
3 Co 0.000 0.000 0.000  -0.06
4 Lu 0.245 0.245 0.266  0.00

Values from the calculation:
Calculated total energy = -5.37 eV per atom
Formation enthalpy at 0 K = 0.28 eV/atom
Volume = 92.4 Å³/f.u.
E above lowest polymorph = 0.393 eV per atom



The following is a PBE calculation of Ba2SrLi2 after structural relaxation, from Alexandria via LeMat-Bulk.

Lattice parameters (Å, degrees): 4.934 5.157 9.539 105.68 90.00 90.00
Positions (direct):
1 Ba 0.500 0.361 0.723
2 Ba 0.500 0.639 0.277
3 Sr 0.000 0.000 0.000
4 Li 0.000 0.794 0.589
5 Li 0.000 0.206 0.411

Values from the calculation:
Calculated total energy = -1.84 eV per atom
Formation enthalpy at 0 K = 0.04 eV/atom
Volume = 233.6 Å³/f.u.
E above lowest polymorph = 0.016 eV per atom



The following is a PBE calculation of ReAs after structural relaxation, from Alexandria via LeMat-Bulk.

Lattice parameters (Å, degrees): 11.314 11.314 3.234 90.00 90.00 90.00
Positions (direct):
1 Re 0.892 0.542 0.000
2 Re 0.458 0.892 0.000
3 As 0.234 0.356 0.500
4 As 0.916 0.318 0.000
5 As 0.318 0.084 0.000
6 Re 0.227 0.592 0.500
7 As 0.356 0.766 0.500
8 Re 0.542 0.108 0.000
9 Re 0.408 0.227 0.500
10 As 0.682 0.916 0.000
11 As 0.084 0.682 0.000
12 As 0.766 0.644 0.500
13 Re 0.108 0.458 0.000
14 Re 0.592 0.773 0.500
15 Re 0.773 0.408 0.500
16 As 0.644 0.234 0.500

Values from the calculation:
Calculated total energy = -8.14 eV per atom
Formation enthalpy at 0 K = 0.40 eV/atom
Volume = 51.7 Å³/f.u.
E above lowest polymorph = 0.330 eV per atom



The following is a PBE calculation of Zr2Ga2Sn after structural relaxation, from Alexandria via LeMat-Bulk.

Lattice parameters (Å, degrees): 7.036 7.036 4.025 90.00 90.00 90.00
Positions (direct):
1 Sn 0.000 0.000 0.000
2 Zr 0.822 0.322 0.500
3 Sn 0.500 0.500 0.000
4 Ga 0.623 0.123 0.000
5 Ga 0.877 0.623 0.000
6 Ga 0.377 0.877 0.000
7 Zr 0.678 0.822 0.500
8 Zr 0.322 0.178 0.500
9 Ga 0.123 0.377 0.000
10 Zr 0.178 0.678 0.500

Values from the calculation:
Calculated total energy = -5.86 eV per atom
Formation enthalpy at 0 K = -0.43 eV/atom
Volume = 99.6 Å³/f.u.
E above lowest polymorph = 0.000 eV per atom



The following is a PBE calculation of YInAg2 after structural relaxation, from Alexandria via LeMat-Bulk.

Lattice parameters (Å, degrees): 4.844 3.355 5.759 90.00 90.00 90.00
Positions (direct):
1 In 0.500 0.250 0.250
2 Ag 0.000 0.250 0.991
3 Ag 0.000 0.250 0.509
4 Y 0.500 0.750 0.750

Values from the calculation:
Calculated total energy = -3.94 eV per atom
Formation enthalpy at 0 K = -0.21 eV/atom
Volume = 93.6 Å³/f.u.